[1]
{"formula": "ScGaTeN2", "functional": "SCAN", "state": "PBEsol geometry", "space_group": "P4/mmm, No. 123", "dos_at_fermi_per_ev_fu": 1.587, "raw_formation_energy_ev_per_atom": 0.595, "lattice": [[3.930, 0.000, 0.000], [0.000, 3.930, 0.000], [0.000, 0.000, 5.502]], "species": ["Sc", "Ga", "Te", "N", "N"], "frac_coords": [[0.000, 0.000, 0.000], [0.500, 0.500, 0.500], [0.500, 0.500, 0.000], [0.000, 0.500, 0.500], [0.500, 0.000, 0.500]]}



[2]
{"formula": "MgCoMo2", "functional": "SCAN", "state": "PBEsol geometry", "e_form_ev_per_atom": 0.31, "space_group": "P4/mmm, No. 123", "dos_at_fermi_per_ev_fu": 2.867, "lattice": [[3.657, 0.000, 0.000], [0.000, 3.657, 0.000], [0.000, 0.000, 4.283]], "species": ["Mg", "Co", "Mo", "Mo"], "frac_coords": [[0.000, 0.000, 0.000], [0.500, 0.500, 0.000], [0.000, 0.500, 0.500], [0.500, 0.000, 0.500]]}



[3]
{"formula": "La2YRu", "functional": "SCAN", "state": "PBEsol geometry", "e_form_ev_per_atom": -0.15, "space_group": "Cm, No. 8", "dos_at_fermi_per_ev_fu": 4.335, "relative_energy_kj_per_mol_atoms": 0.0, "lattice": [[11.878, 0.000, 0.000], [0.000, 3.694, 0.000], [-2.569, 0.000, 5.043]], "species": ["La", "La", "La", "La", "Y", "Y", "Ru", "Ru"], "frac_coords": [[0.000, 0.000, 0.000], [0.194, 0.000, 0.691], [0.500, 0.500, 0.000], [0.694, 0.500, 0.691], [0.310, 0.500, 0.307], [0.810, 0.000, 0.307], [0.005, 0.500, 0.437], [0.505, 0.000, 0.437]]}



[4]
{"formula": "NdBrO", "functional": "SCAN", "state": "PBEsol geometry", "space_group": "P4/nmm, No. 129", "dos_at_fermi_per_ev_fu": 0.000, "raw_formation_energy_ev_per_atom": -3.182, "lattice": [[4.031, 0.000, 0.000], [0.000, 4.031, 0.000], [0.000, 0.000, 7.347]], "species": ["Nd", "Nd", "Br", "Br", "O", "O"], "frac_coords": [[0.250, 0.250, 0.159], [0.750, 0.750, 0.841], [0.250, 0.250, 0.637], [0.750, 0.750, 0.363], [0.250, 0.750, 0.000], [0.750, 0.250, 0.000]]}



[5]
{"formula": "Y2HIrPd", "functional": "SCAN", "state": "PBEsol geometry", "total_energy_ev_per_atom": -33.454, "space_group": "P4/mmm, No. 123", "dos_at_fermi_per_ev_fu": 1.780, "lattice": [[4.816, 0.000, 0.000], [0.000, 4.816, 0.000], [0.000, 0.000, 3.566]], "species": ["Y", "Y", "H", "Ir", "Pd"], "frac_coords": [[0.000, 0.500, 0.000], [0.500, 0.000, 0.000], [0.000, 0.000, 0.000], [0.500, 0.500, 0.500], [0.000, 0.000, 0.500]]}



[6]
{"formula": "ZrCuSb2Te", "functional": "SCAN", "state": "PBEsol geometry", "space_group": "P4/mmm, No. 123", "dos_at_fermi_per_ev_fu": 4.344, "raw_formation_energy_ev_per_atom": 0.431, "lattice": [[4.929, 0.000, 0.000], [0.000, 4.929, 0.000], [0.000, 0.000, 5.078]], "species": ["Zr", "Cu", "Sb", "Sb", "Te"], "frac_coords": [[0.000, 0.000, 0.000], [0.500, 0.500, 0.500], [0.000, 0.500, 0.500], [0.500, 0.000, 0.500], [0.500, 0.500, 0.000]]}



[7]
{"formula": "NbCrCu2", "functional": "SCAN", "state": "PBEsol geometry", "e_form_ev_per_atom": 0.18, "space_group": "Fm-3m, No. 225", "dos_at_fermi_per_ev_fu": 1.926, "lattice": [[6.034, 0.000, 0.000], [0.000, 6.034, 0.000], [0.000, 0.000, 6.034]], "species": ["Nb", "Nb", "Nb", "Nb", "Cr", "Cr", "Cr", "Cr", "Cu", "Cu", "Cu", "Cu", "Cu", "Cu", "Cu", "Cu"], "frac_coords": [[0.000, 0.000, 0.000], [0.000, 0.500, 0.500], [0.500, 0.000, 0.500], [0.500, 0.500, 0.000], [0.000, 0.000, 0.500], [0.000, 0.500, 0.000], [0.500, 0.000, 0.000], [0.500, 0.500, 0.500], [0.250, 0.250, 0.250], [0.250, 0.250, 0.750], [0.250, 0.750, 0.250], [0.250, 0.750, 0.750], [0.750, 0.250, 0.250], [0.750, 0.250, 0.750], [0.750, 0.750, 0.250], [0.750, 0.750, 0.750]]}



[8]
{"formula": "Sr2TeCl", "functional": "SCAN", "state": "PBEsol geometry", "space_group": "P4/mmm, No. 123", "dos_at_fermi_per_ev_fu": 1.850, "raw_formation_energy_ev_per_atom": -1.826, "relative_energy_kj_per_mol_atoms": 1.8, "lattice": [[4.500, 0.000, 0.000], [0.000, 4.500, 0.000], [0.000, 0.000, 6.319]], "species": ["Sr", "Sr", "Te", "Cl"], "frac_coords": [[0.000, 0.000, 0.000], [0.500, 0.500, 0.500], [0.000, 0.000, 0.500], [0.500, 0.500, 0.000]]}



[9]
{"formula": "Hf2AlZnTc", "functional": "SCAN", "state": "PBEsol geometry", "e_form_ev_per_atom": 0.88, "space_group": "P4/mmm, No. 123", "dos_at_fermi_per_ev_fu": 1.945, "lattice": [[4.903, 0.000, 0.000], [0.000, 4.903, 0.000], [0.000, 0.000, 4.335]], "species": ["Hf", "Hf", "Al", "Zn", "Tc"], "frac_coords": [[0.000, 0.500, 0.000], [0.500, 0.000, 0.000], [0.000, 0.000, 0.000], [0.500, 0.500, 0.500], [0.000, 0.000, 0.500]]}



[10]
{"formula": "TcAu", "functional": "SCAN", "state": "PBEsol geometry", "e_form_ev_per_atom": 0.27, "space_group": "Cm, No. 8", "dos_at_fermi_per_ev_fu": 1.507, "relative_energy_kj_per_mol_atoms": 22.9, "lattice": [[10.476, 0.000, 0.000], [0.000, 2.862, 0.000], [-1.630, 0.000, 6.155]], "species": ["Tc", "Tc", "Tc", "Tc", "Tc", "Tc", "Au", "Au", "Au", "Au", "Au", "Au"], "frac_coords": [[0.000, 0.000, 0.000], [0.037, 0.000, 0.584], [0.406, 0.000, 0.256], [0.500, 0.500, 0.000], [0.537, 0.500, 0.584], [0.906, 0.500, 0.256], [0.173, 0.500, 0.330], [0.215, 0.500, 0.927], [0.339, 0.000, 0.663], [0.673, 0.000, 0.330], [0.715, 0.000, 0.927], [0.839, 0.500, 0.663]]}



[11]
{"formula": "CrMoRh2", "functional": "SCAN", "state": "PBEsol geometry", "e_form_ev_per_atom": -0.11, "space_group": "Pmmm, No. 47", "dos_at_fermi_per_ev_fu": 3.322, "relative_energy_kj_per_mol_atoms": 5.7, "lattice": [[2.666, 0.000, 0.000], [0.000, 3.760, 0.000], [0.000, 0.000, 5.320]], "species": ["Cr", "Mo", "Rh", "Rh"], "frac_coords": [[0.000, 0.000, 0.000], [0.000, 0.000, 0.500], [0.500, 0.500, 0.242], [0.500, 0.500, 0.758]]}



[12]
{"formula": "AlNi", "functional": "SCAN", "state": "PBEsol geometry", "e_form_ev_per_atom": -0.68, "space_group": "C2/m, No. 12", "dos_at_fermi_per_ev_fu": 0.732, "lattice": [[8.690, 0.000, 0.000], [0.000, 2.838, 0.000], [-1.200, 0.000, 3.863]], "species": ["Al", "Al", "Al", "Al", "Ni", "Ni", "Ni", "Ni"], "frac_coords": [[0.116, 0.000, 0.318], [0.384, 0.500, 0.682], [0.616, 0.500, 0.318], [0.884, 0.000, 0.682], [0.123, 0.500, 0.823], [0.377, 0.000, 0.177], [0.623, 0.000, 0.823], [0.877, 0.500, 0.177]]}



[13]
{"formula": "HfCr2HgPd", "functional": "SCAN", "state": "PBEsol geometry", "e_form_ev_per_atom": 1.17, "space_group": "P4/mmm, No. 123", "dos_at_fermi_per_ev_fu": 3.950, "lattice": [[4.817, 0.000, 0.000], [0.000, 4.817, 0.000], [0.000, 0.000, 4.894]], "species": ["Hf", "Cr", "Cr", "Hg", "Pd"], "frac_coords": [[0.000, 0.000, 0.000], [0.000, 0.500, 0.500], [0.500, 0.000, 0.500], [0.500, 0.500, 0.500], [0.500, 0.500, 0.000]]}



[14]
{"formula": "Cr3AgAs", "functional": "SCAN", "state": "PBEsol geometry", "e_form_ev_per_atom": 0.58, "space_group": "Pm-3m, No. 221", "dos_at_fermi_per_ev_fu": 4.684, "lattice": [[4.554, 0.000, 0.000], [0.000, 4.554, 0.000], [0.000, 0.000, 4.554]], "species": ["Cr", "Cr", "Cr", "Ag", "As"], "frac_coords": [[0.000, 0.000, 0.500], [0.000, 0.500, 0.000], [0.500, 0.000, 0.000], [0.500, 0.500, 0.500], [0.000, 0.000, 0.000]]}



[15]
{"formula": "ZrBe4Re", "functional": "SCAN", "state": "PBEsol geometry", "e_form_ev_per_atom": -0.33, "space_group": "F-43m, No. 216", "dos_at_fermi_per_ev_fu": 2.379, "lattice": [[0.000, 3.225, 3.225], [3.225, 0.000, 3.225], [3.225, 3.225, 0.000]], "species": ["Zr", "Be", "Be", "Be", "Be", "Re"], "frac_coords": [[0.000, 0.000, 0.000], [0.132, 0.623, 0.623], [0.623, 0.132, 0.623], [0.623, 0.623, 0.132], [0.623, 0.623, 0.623], [0.250, 0.250, 0.250]]}



[16]
{"formula": "Rb2Cd3H6S3O16", "functional": "SCAN", "state": "PBEsol geometry", "total_energy_ev_per_atom": -10.942, "space_group": "Cmc2_1, No. 36", "dos_at_fermi_per_ev_fu": 0.000, "lattice": [[9.145, -4.053, 0.000], [9.145, 4.053, 0.000], [0.000, 0.000, 10.214]], "species": ["Rb", "Rb", "Rb", "Rb", "Cd", "Cd", "Cd", "Cd", "Cd", "Cd", "H", "H", "H", "H", "H", "H", "H", "H", "H", "H", "H", "H", "S", "S", "S", "S", "S", "S", "O", "O", "O", "O", "O", "O", "O", "O", "O", "O", "O", "O", "O", "O", "O", "O", "O", "O", "O", "O", "O", "O", "O", "O", "O", "O", "O", "O", "O", "O", "O", "O"], "frac_coords": [[0.145, 0.228, 0.000], [0.228, 0.145, 0.500], [0.772, 0.855, 0.000], [0.855, 0.772, 0.500], [0.185, 0.815, 0.766], [0.365, 0.445, 0.058], [0.445, 0.365, 0.558], [0.555, 0.635, 0.058], [0.635, 0.555, 0.558], [0.815, 0.185, 0.266], [0.075, 0.581, 0.223], [0.092, 0.731, 0.219], [0.269, 0.908, 0.219], [0.419, 0.925, 0.223], [0.433, 0.567, 0.885], [0.445, 0.555, 0.252], [0.555, 0.445, 0.752], [0.567, 0.433, 0.385], [0.581, 0.075, 0.723], [0.731, 0.092, 0.719], [0.908, 0.269, 0.719], [0.925, 0.419, 0.723], [0.118, 0.518, 0.775], [0.195, 0.805, 0.436], [0.482, 0.882, 0.775], [0.518, 0.118, 0.275], [0.805, 0.195, 0.936], [0.882, 0.482, 0.275], [0.032, 0.476, 0.303], [0.040, 0.708, 0.770], [0.083, 0.917, 0.552], [0.094, 0.906, 0.311], [0.095, 0.647, 0.164], [0.197, 0.431, 0.644], [0.232, 0.635, 0.433], [0.257, 0.413, 0.878], [0.292, 0.960, 0.770], [0.341, 0.659, 0.948], [0.353, 0.905, 0.164], [0.365, 0.768, 0.433], [0.413, 0.257, 0.378], [0.431, 0.197, 0.144], [0.463, 0.537, 0.689], [0.476, 0.032, 0.803], [0.524, 0.968, 0.303], [0.537, 0.463, 0.189], [0.569, 0.803, 0.644], [0.587, 0.743, 0.878], [0.635, 0.232, 0.933], [0.647, 0.095, 0.664], [0.659, 0.341, 0.448], [0.708, 0.040, 0.270], [0.743, 0.587, 0.378], [0.768, 0.365, 0.933], [0.803, 0.569, 0.144], [0.905, 0.353, 0.664], [0.906, 0.094, 0.811], [0.917, 0.083, 0.052], [0.960, 0.292, 0.270], [0.968, 0.524, 0.803]]}



[17]
{"formula": "KPtBr", "functional": "SCAN", "state": "PBEsol geometry", "space_group": "I4mm, No. 107", "dos_at_fermi_per_ev_fu": 0.715, "raw_formation_energy_ev_per_atom": -0.061, "lattice": [[3.776, 0.000, 0.000], [0.000, 3.776, 0.000], [0.000, 0.000, 11.246]], "species": ["K", "K", "Pt", "Pt", "Br", "Br"], "frac_coords": [[0.000, 0.000, 0.000], [0.500, 0.500, 0.500], [0.000, 0.000, 0.733], [0.500, 0.500, 0.233], [0.000, 0.000, 0.261], [0.500, 0.500, 0.761]]}



[18]
{"formula": "HfZrV4", "functional": "SCAN", "state": "PBEsol geometry", "e_form_ev_per_atom": 0.05, "space_group": "F-43m, No. 216", "dos_at_fermi_per_ev_fu": 11.577, "lattice": [[0.000, 3.614, 3.614], [3.614, 0.000, 3.614], [3.614, 3.614, 0.000]], "species": ["Hf", "Zr", "V", "V", "V", "V"], "frac_coords": [[0.000, 0.000, 0.000], [0.250, 0.250, 0.250], [0.125, 0.625, 0.625], [0.625, 0.125, 0.625], [0.625, 0.625, 0.125], [0.625, 0.625, 0.625]]}



[19]
{"formula": "BaNdAgS3", "functional": "SCAN", "state": "PBEsol geometry", "space_group": "Cmcm, No. 63", "dos_at_fermi_per_ev_fu": 0.000, "raw_formation_energy_ev_per_atom": -1.866, "lattice": [[2.071, -6.804, 0.000], [2.071, 6.804, 0.000], [0.000, 0.000, 10.450]], "species": ["Ba", "Ba", "Nd", "Nd", "Ag", "Ag", "S", "S", "S", "S", "S", "S"], "frac_coords": [[0.247, 0.753, 0.750], [0.753, 0.247, 0.250], [0.500, 0.500, 0.000], [0.500, 0.500, 0.500], [0.029, 0.971, 0.250], [0.971, 0.029, 0.750], [0.137, 0.863, 0.058], [0.137, 0.863, 0.442], [0.421, 0.579, 0.250], [0.579, 0.421, 0.750], [0.863, 0.137, 0.558], [0.863, 0.137, 0.942]]}



[20]
{"formula": "KTl2SiP", "functional": "SCAN", "state": "PBEsol geometry", "space_group": "P4/mmm, No. 123", "dos_at_fermi_per_ev_fu": 2.276, "raw_formation_energy_ev_per_atom": 0.636, "lattice": [[5.156, 0.000, 0.000], [0.000, 5.156, 0.000], [0.000, 0.000, 6.002]], "species": ["K", "Tl", "Tl", "Si", "P"], "frac_coords": [[0.000, 0.000, 0.000], [0.000, 0.500, 0.500], [0.500, 0.000, 0.500], [0.000, 0.000, 0.500], [0.500, 0.500, 0.000]]}